# Al | Alexandria via LeMat-Bulk | PBE | relaxed
data_Al
_space_group_name_H-M_alt 'P 63/m m c'
_space_group_IT_number 194
_space_group_name_Hall '-P 6c 2c'
_cell_length_a 2.8149
_cell_length_b 2.8149
_cell_length_c 4.8611
_cell_angle_alpha 90.00
_cell_angle_beta 90.00
_cell_angle_gamma 120.00
loop_
_atom_site_label
_atom_site_type_symbol
_atom_site_fract_x
_atom_site_fract_y
_atom_site_fract_z
_atom_site_occupancy
Al1 Al 0.3333 0.6667 0.2500 1
# DFT formation energy: 28 meV per atom
# size of the total moment: 0.0 μB per cell
# distance to the lowest polymorph of the same formula: 27.9 meV per atom
# volume: 16.68 Å³/atom

=====

# Al | Alexandria via LeMat-Bulk | PBE | relaxed
data_Al
_space_group_name_H-M_alt 'I -4 3 d'
_space_group_IT_number 220
_space_group_name_Hall 'I -4bd 2c 3'
_cell_length_a 5.961
_cell_length_b 5.961
_cell_length_c 5.961
_cell_angle_alpha 90.00
_cell_angle_beta 90.00
_cell_angle_gamma 90.00
loop_
_atom_site_label
_atom_site_type_symbol
_atom_site_fract_x
_atom_site_fract_y
_atom_site_fract_z
_atom_site_occupancy
Al1 Al 0.000 0.250 0.875 1
# DFT formation energy: 112 meV per atom
# size of the total moment: 0.0 μB per cell
# distance to the lowest polymorph of the same formula: 112.3 meV per atom
# volume: 17.65 Å³/atom

=====

# Al | Alexandria via LeMat-Bulk | PBE | relaxed
data_Al
_space_group_name_H-M_alt 'P 6/m m m'
_space_group_IT_number 191
_space_group_name_Hall '-P 6 2'
_cell_length_a 4.6248
_cell_length_b 4.6248
_cell_length_c 2.7658
_cell_angle_alpha 90.00
_cell_angle_beta 90.00
_cell_angle_gamma 120.00
loop_
_atom_site_label
_atom_site_type_symbol
_atom_site_fract_x
_atom_site_fract_y
_atom_site_fract_z
_atom_site_occupancy
Al1 Al 0.0000 0.0000 0.0000 1
Al2 Al 0.3333 0.6667 0.5000 1
# DFT formation energy: 104 meV per atom
# size of the total moment: 0.0 μB per cell
# distance to the lowest polymorph of the same formula: 104.5 meV per atom
# volume: 17.08 Å³/atom

=====

# Al | Alexandria via LeMat-Bulk | PBE | relaxed
data_Al
_space_group_name_H-M_alt 'I -4 3 m'
_space_group_IT_number 217
_space_group_name_Hall 'I -4 2 3'
_cell_length_a 8.126
_cell_length_b 8.126
_cell_length_c 8.126
_cell_angle_alpha 90.00
_cell_angle_beta 90.00
_cell_angle_gamma 90.00
loop_
_atom_site_label
_atom_site_type_symbol
_atom_site_fract_x
_atom_site_fract_y
_atom_site_fract_z
_atom_site_occupancy
Al1 Al 0.124 0.124 0.876 1
Al2 Al 0.191 0.191 0.191 1
# DFT formation energy: 722 meV per atom
# size of the total moment: 0.0 μB per cell
# distance to the lowest polymorph of the same formula: 722.0 meV per atom
# volume: 33.53 Å³/atom

=====

# Al | Alexandria via LeMat-Bulk | PBE | relaxed
data_Al
_space_group_name_H-M_alt 'P m -3 m'
_space_group_IT_number 221
_space_group_name_Hall '-P 4 2 3'
_cell_length_a 2.727
_cell_length_b 2.727
_cell_length_c 2.727
_cell_angle_alpha 90.00
_cell_angle_beta 90.00
_cell_angle_gamma 90.00
loop_
_atom_site_label
_atom_site_type_symbol
_atom_site_fract_x
_atom_site_fract_y
_atom_site_fract_z
_atom_site_occupancy
Al1 Al 0.000 0.000 0.000 1
# DFT formation energy: 372 meV per atom
# size of the total moment: 0.0 μB per cell
# distance to the lowest polymorph of the same formula: 372.3 meV per atom
# volume: 20.29 Å³/atom

=====

# Al | Alexandria via LeMat-Bulk | PBE | relaxed
data_Al
_space_group_name_H-M_alt 'I 4/m m m'
_space_group_IT_number 139
_space_group_name_Hall '-I 4 2'
_cell_length_a 3.944
_cell_length_b 3.944
_cell_length_c 12.382
_cell_angle_alpha 90.00
_cell_angle_beta 90.00
_cell_angle_gamma 90.00
loop_
_atom_site_label
_atom_site_type_symbol
_atom_site_fract_x
_atom_site_fract_y
_atom_site_fract_z
_atom_site_occupancy
Al1 Al 0.000 0.000 0.103 1
Al2 Al 0.000 0.500 0.250 1
# DFT formation energy: 302 meV per atom
# size of the total moment: 0.0 μB per cell
# distance to the lowest polymorph of the same formula: 302.4 meV per atom
# volume: 24.07 Å³/atom

=====

# Al | Alexandria via LeMat-Bulk | PBE | relaxed
data_Al
_space_group_name_H-M_alt 'P 63/m m c'
_space_group_IT_number 194
_space_group_name_Hall '-P 6c 2c'
_cell_length_a 5.4474
_cell_length_b 5.4474
_cell_length_c 8.1880
_cell_angle_alpha 90.00
_cell_angle_beta 90.00
_cell_angle_gamma 120.00
loop_
_atom_site_label
_atom_site_type_symbol
_atom_site_fract_x
_atom_site_fract_y
_atom_site_fract_z
_atom_site_occupancy
Al1 Al 0.0000 0.0000 0.0000 1
Al2 Al 0.1733 0.3467 0.2500 1
Al3 Al 0.3333 0.6667 0.5697 1
# DFT formation energy: 151 meV per atom
# size of the total moment: 0.0 μB per cell
# distance to the lowest polymorph of the same formula: 150.5 meV per atom
# volume: 17.54 Å³/atom

=====

# Al | Alexandria via LeMat-Bulk | PBE | relaxed
data_Al
_space_group_name_H-M_alt 'P 6/m m m'
_space_group_IT_number 191
_space_group_name_Hall '-P 6 2'
_cell_length_a 4.5497
_cell_length_b 4.5497
_cell_length_c 2.7446
_cell_angle_alpha 90.00
_cell_angle_beta 90.00
_cell_angle_gamma 120.00
loop_
_atom_site_label
_atom_site_type_symbol
_atom_site_fract_x
_atom_site_fract_y
_atom_site_fract_z
_atom_site_occupancy
Al1 Al 0.3333 0.6667 0.0000 1
# DFT formation energy: 486 meV per atom
# size of the total moment: 0.0 μB per cell
# distance to the lowest polymorph of the same formula: 485.7 meV per atom
# volume: 24.60 Å³/atom

=====

# Al | Alexandria via LeMat-Bulk | PBE | relaxed
data_Al
_space_group_name_H-M_alt 'I m m m'
_space_group_IT_number 71
_space_group_name_Hall '-I 2 2'
_cell_length_a 2.795
_cell_length_b 4.932
_cell_length_c 7.586
_cell_angle_alpha 90.00
_cell_angle_beta 90.00
_cell_angle_gamma 90.00
loop_
_atom_site_label
_atom_site_type_symbol
_atom_site_fract_x
_atom_site_fract_y
_atom_site_fract_z
_atom_site_occupancy
Al1 Al 0.000 0.000 0.000 1
Al2 Al 0.000 0.500 0.183 1
# DFT formation energy: 84 meV per atom
# size of the total moment: 0.0 μB per cell
# distance to the lowest polymorph of the same formula: 83.8 meV per atom
# volume: 17.43 Å³/atom

=====

# Al | Alexandria via LeMat-Bulk | PBE | relaxed
data_Al
_space_group_name_H-M_alt 'I 41/a m d'
_space_group_IT_number 141
_cell_length_a 5.260
_cell_length_b 5.260
_cell_length_c 2.776
_cell_angle_alpha 90.00
_cell_angle_beta 90.00
_cell_angle_gamma 90.00
loop_
_space_group_symop_operation_xyz
'x,y,z'
'-x,-y,-z'
'-y+1/4,x+3/4,z+1/4'
'y+1/4,-x+3/4,-z+1/4'
'-x+1/2,-y,z+1/2'
'x+1/2,y,-z+1/2'
'y+1/4,-x+1/4,z+3/4'
'-y+1/4,x+1/4,-z+3/4'
'x,-y,-z'
'-x,y,z'
'-y+1/4,-x+1/4,-z+3/4'
'y+1/4,x+1/4,z+3/4'
'-x+1/2,y,-z+1/2'
'x+1/2,-y,z+1/2'
'y+1/4,x+3/4,-z+1/4'
'-y+1/4,-x+3/4,z+1/4'
'x+1/2,y+1/2,z+1/2'
'-x+1/2,-y+1/2,-z+1/2'
'-y+3/4,x+1/4,z+3/4'
'y+3/4,-x+1/4,-z+3/4'
'-x,-y+1/2,z'
'x,y+1/2,-z'
'y+3/4,-x+3/4,z+1/4'
'-y+3/4,x+3/4,-z+1/4'
'x+1/2,-y+1/2,-z+1/2'
'-x+1/2,y+1/2,z+1/2'
'-y+3/4,-x+3/4,-z+1/4'
'y+3/4,x+3/4,z+1/4'
'-x,y+1/2,-z'
'x,-y+1/2,z'
'y+3/4,x+1/4,-z+3/4'
'-y+3/4,-x+1/4,z+3/4'
loop_
_atom_site_label
_atom_site_type_symbol
_atom_site_fract_x
_atom_site_fract_y
_atom_site_fract_z
_atom_site_occupancy
Al1 Al 0.000 0.250 0.375 1
# DFT formation energy: 279 meV per atom
# size of the total moment: 0.0 μB per cell
# distance to the lowest polymorph of the same formula: 279.3 meV per atom
# volume: 19.21 Å³/atom